First-principles (PBE) data for Mg2Ge2Pb after structural relaxation, as listed in Alexandria via LeMat-Bulk. Values from VASP.

* electronic total energy: -3.284 eV per atom
* density: 5.7 g cm⁻³
* calculated formation energy: -0.0575 eV per atom
* excess energy over the best structure of this formula in the dataset: 0 meV/atom
* magnetic moment: 0.00 μB per formula unit

The structure in Quantum ESPRESSO input format:
```
&SYSTEM
  ibrav = 0, nat = 5, ntyp = 3
/
ATOMIC_SPECIES
Mg 24.30 Mg.upf
Ge 72.64 Ge.upf
Pb 207.20 Pb.upf
CELL_PARAMETERS angstrom
-2.2863 2.2863 5.5458
2.2863 -2.2863 5.5458
2.2863 2.2863 -5.5458
ATOMIC_POSITIONS crystal
Mg 0.2500 0.7500 0.5000
Mg 0.7500 0.2500 0.5000
Ge 0.1107 0.1107 0.0000
Ge 0.8893 0.8893 0.0000
Pb 0.5000 0.5000 0.0000
```